1) First-principles (PBE) data for an optimized crystal structure of CrSiSb2I, as listed in the Alexandria database.

The density of states at the Fermi level is 0.517 states/eV/atom. For the total magnetization, the calculation gives 2.4 μB/f.u.

The structure belongs to space group P4/mmm (No. 123); the cell edges are 5.019, 5.019 and 5.717 Å and the angles 90.00°, 90.00° and 90.00°. The distinct sites, in fractional coordinates, are Cr at (0.000, 0.000, 0.000), Si at (0.500, 0.500, 0.500), Sb at (0.000, 0.500, 0.000) and I at (0.000, 0.000, 0.500).

---

2) First-principles (PBE) data for an optimized crystal structure of CrSiSb2I, as listed in the Alexandria database.

The density of states at the Fermi level is 1.126 states/eV/atom. For the total magnetization, the calculation gives 0.3 μB/f.u.

The structure belongs to space group P4/mmm (No. 123); the cell edges are 5.200, 5.200 and 5.402 Å and the angles 90.00°, 90.00° and 90.00°. The distinct sites, in fractional coordinates, are Cr at (0.000, 0.000, 0.000), Si at (0.500, 0.500, 0.500), Sb at (0.000, 0.500, 0.500) and I at (0.500, 0.500, 0.000).

---

Quick one: least stable of them? 2)

---

1) First-principles (PBE) data for an optimized crystal structure of SrCrSbI2, as listed in the Alexandria database.

The density of states at the Fermi level is 1.978 states/eV/atom. For the total magnetization, the calculation gives 3.0 μB/f.u.

The structure belongs to space group P4/mmm (No. 123); the cell edges are 6.265, 6.265 and 6.603 Å and the angles 90.00°, 90.00° and 90.00°. The distinct sites, in fractional coordinates, are Sr at (0.000, 0.000, 0.000), Cr at (0.500, 0.500, 0.500), Sb at (0.000, 0.000, 0.500) and I at (0.000, 0.500, 0.000).

---

2) First-principles (PBE) data for an optimized crystal structure of SrCrSbI2, as listed in the Alexandria database.

The density of states at the Fermi level is 0.500 states/eV/atom. For the total magnetization, the calculation gives 3.0 μB/f.u.

The structure belongs to space group P4/mmm (No. 123); the cell edges are 5.602, 5.602 and 5.421 Å and the angles 90.00°, 90.00° and 90.00°. The distinct sites, in fractional coordinates, are Sr at (0.000, 0.000, 0.000), Cr at (0.500, 0.500, 0.500), Sb at (0.500, 0.500, 0.000) and I at (0.000, 0.500, 0.500).

---

Quick one: least stable of them? 1)

---

1) First-principles (PBE) data for an optimized crystal structure of TaCrSbI2, as listed in the Alexandria database.

The density of states at the Fermi level is 0.544 states/eV/atom. For the total magnetization, the calculation gives 5.4 μB/f.u.

The structure belongs to space group P4/mmm (No. 123); the cell edges are 5.522, 5.522 and 5.491 Å and the angles 90.00°, 90.00° and 90.00°. The distinct sites, in fractional coordinates, are Ta at (0.000, 0.000, 0.000), Cr at (0.500, 0.500, 0.500), Sb at (0.000, 0.000, 0.500) and I at (0.000, 0.500, 0.000).

---

2) First-principles (PBE) data for an optimized crystal structure of TaCrSbI2, as listed in the Alexandria database.

The density of states at the Fermi level is 0.854 states/eV/atom. For the total magnetization, the calculation gives 6.0 μB/f.u.

The structure belongs to space group P4/mmm (No. 123); the cell edges are 5.271, 5.271 and 5.331 Å and the angles 90.00°, 90.00° and 90.00°. The distinct sites, in fractional coordinates, are Ta at (0.000, 0.000, 0.000), Cr at (0.500, 0.500, 0.500), Sb at (0.500, 0.500, 0.000) and I at (0.000, 0.500, 0.500).

---

Quick one: least stable of them? 2)

---

1) First-principles (PBE) data for an optimized crystal structure of TaCrSb2I, as listed in the Alexandria database.

The density of states at the Fermi level is 0.946 states/eV/atom. For the total magnetization, the calculation gives 5.1 μB/f.u.

The structure belongs to space group P4/mmm (No. 123); the cell edges are 5.347, 5.347 and 5.699 Å and the angles 90.00°, 90.00° and 90.00°. The distinct sites, in fractional coordinates, are Ta at (0.000, 0.000, 0.000), Cr at (0.500, 0.500, 0.500), Sb at (0.000, 0.500, 0.000) and I at (0.000, 0.000, 0.500).

---

2) First-principles (PBE) data for an optimized crystal structure of TaCrSb2I, as listed in the Alexandria database.

The density of states at the Fermi level is 0.939 states/eV/atom. For the total magnetization, the calculation gives 5.3 μB/f.u.

The structure belongs to space group P4/mmm (No. 123); the cell edges are 5.042, 5.042 and 5.348 Å and the angles 90.00°, 90.00° and 90.00°. The distinct sites, in fractional coordinates, are Ta at (0.000, 0.000, 0.000), Cr at (0.500, 0.500, 0.500), Sb at (0.000, 0.500, 0.500) and I at (0.500, 0.500, 0.000).

---

Quick one: least stable of them? 2)

---

1) First-principles (PBE) data for an optimized crystal structure of CrTcSbI2, as listed in the Alexandria database.

The density of states at the Fermi level is 2.453 states/eV/atom. For the total magnetization, the calculation gives 0.3 μB/f.u.

The structure belongs to space group P4/mmm (No. 123); the cell edges are 5.491, 5.491 and 5.064 Å and the angles 90.00°, 90.00° and 90.00°. The distinct sites, in fractional coordinates, are Cr at (0.000, 0.000, 0.000), Tc at (0.500, 0.500, 0.500), Sb at (0.500, 0.500, 0.000) and I at (0.000, 0.500, 0.500).

---

2) First-principles (PBE) data for an optimized crystal structure of CrTcSbI2, as listed in the Alexandria database.

The density of states at the Fermi level is 1.464 states/eV/atom. For the total magnetization, the calculation gives 4.5 μB/f.u.

The structure belongs to space group P4/mmm (No. 123); the cell edges are 5.349, 5.349 and 5.141 Å and the angles 90.00°, 90.00° and 90.00°. The distinct sites, in fractional coordinates, are Cr at (0.000, 0.000, 0.000), Tc at (0.500, 0.500, 0.500), Sb at (0.000, 0.000, 0.500) and I at (0.000, 0.500, 0.000).

---

Quick one: least stable of them? 1)

---

1) First-principles (PBE) data for an optimized crystal structure of ZrCrSbI2, as listed in the Alexandria database.

The density of states at the Fermi level is 1.107 states/eV/atom. For the total magnetization, the calculation gives 5.1 μB/f.u.

The structure belongs to space group P4/mmm (No. 123); the cell edges are 5.299, 5.299 and 5.387 Å and the angles 90.00°, 90.00° and 90.00°. The distinct sites, in fractional coordinates, are Zr at (0.000, 0.000, 0.000), Cr at (0.500, 0.500, 0.500), Sb at (0.500, 0.500, 0.000) and I at (0.000, 0.500, 0.500).

---

2) First-principles (PBE) data for an optimized crystal structure of ZrCrSbI2, as listed in the Alexandria database.

The density of states at the Fermi level is 0.975 states/eV/atom. For the total magnetization, the calculation gives 4.9 μB/f.u.

The structure belongs to space group P4/mmm (No. 123); the cell edges are 5.660, 5.660 and 5.759 Å and the angles 90.00°, 90.00° and 90.00°. The distinct sites, in fractional coordinates, are Zr at (0.000, 0.000, 0.000), Cr at (0.500, 0.500, 0.500), Sb at (0.000, 0.000, 0.500) and I at (0.000, 0.500, 0.000).

---

Quick one: least stable of them? 1)

---

1) First-principles (PBE) data for an optimized crystal structure of Sc2CrI, as listed in the Alexandria database.

The density of states at the Fermi level is 1.001 states/eV/atom. For the total magnetization, the calculation gives 0.0 μB/f.u.

The structure belongs to space group Fm-3m (No. 225); the cell edges are 6.855, 6.855 and 6.855 Å and the angles 90.00°, 90.00° and 90.00°. The distinct sites, in fractional coordinates, are Sc at (0.250, 0.250, 0.250), Cr at (0.000, 0.000, 0.000) and I at (0.000, 0.000, 0.500).

---

2) First-principles (PBE) data for an optimized crystal structure of Sc2CrI, as listed in the Alexandria database.

The density of states at the Fermi level is 1.056 states/eV/atom. For the total magnetization, the calculation gives 3.3 μB/f.u.

The structure belongs to space group I-42d (No. 122); the cell edges are 7.769, 7.769 and 6.338 Å and the angles 90.00°, 90.00° and 90.00°. The distinct sites, in fractional coordinates, are Sc at (0.241, 0.750, 0.125), Cr at (0.000, 0.000, 0.000) and I at (0.000, 0.000, 0.500).

---

Quick one: least stable of them? 1)

---

1) First-principles (PBE) data for an optimized crystal structure of ScCr3I, as listed in the Alexandria database.

The density of states at the Fermi level is 4.627 states/eV/atom. For the total magnetization, the calculation gives 0.1 μB/f.u.

The structure belongs to space group Pm-3m (No. 221); the cell edges are 4.546, 4.546 and 4.546 Å and the angles 90.00°, 90.00° and 90.00°. The distinct sites, in fractional coordinates, are Sc at (0.000, 0.000, 0.000), Cr at (0.000, 0.000, 0.500) and I at (0.500, 0.500, 0.500).

---

2) First-principles (PBE) data for an optimized crystal structure of ScCr3I, as listed in the Alexandria database.

The density of states at the Fermi level is 1.652 states/eV/atom. For the total magnetization, the calculation gives 8.8 μB/f.u.

The structure belongs to space group Pm-3m (No. 221); the cell edges are 4.871, 4.871 and 4.871 Å and the angles 90.00°, 90.00° and 90.00°. The distinct sites, in fractional coordinates, are Sc at (0.000, 0.000, 0.000), Cr at (0.000, 0.500, 0.500) and I at (0.500, 0.500, 0.500).

---

Quick one: least stable of them? 1)

---

1) First-principles (PBE) data for an optimized crystal structure of ScCrTeI2, as listed in the Alexandria database.

The density of states at the Fermi level is 1.002 states/eV/atom. For the total magnetization, the calculation gives 5.0 μB/f.u.

The structure belongs to space group P4/mmm (No. 123); the cell edges are 5.669, 5.669 and 5.704 Å and the angles 90.00°, 90.00° and 90.00°. The distinct sites, in fractional coordinates, are Sc at (0.000, 0.000, 0.000), Cr at (0.500, 0.500, 0.500), Te at (0.000, 0.000, 0.500) and I at (0.000, 0.500, 0.000).

---

2) First-principles (PBE) data for an optimized crystal structure of ScCrTeI2, as listed in the Alexandria database.

The density of states at the Fermi level is 1.002 states/eV/atom. For the total magnetization, the calculation gives 5.0 μB/f.u.

The structure belongs to space group P4/mmm (No. 123); the cell edges are 5.394, 5.394 and 5.533 Å and the angles 90.00°, 90.00° and 90.00°. The distinct sites, in fractional coordinates, are Sc at (0.000, 0.000, 0.000), Cr at (0.500, 0.500, 0.500), Te at (0.500, 0.500, 0.000) and I at (0.000, 0.500, 0.500).

---

Quick one: least stable of them? 2)

---

1) First-principles (PBE) data for an optimized crystal structure of Cr2SeI, as listed in the Alexandria database.

The density of states at the Fermi level is 0.643 states/eV/atom. For the total magnetization, the calculation gives 9.0 μB/f.u.

The structure belongs to space group I-42d (No. 122); the cell edges are 6.220, 6.220 and 12.254 Å and the angles 90.00°, 90.00° and 90.00°. The distinct sites, in fractional coordinates, are Cr at (0.199, 0.250, 0.125), Se at (0.000, 0.000, 0.000) and I at (0.000, 0.000, 0.500).

---

2) First-principles (PBE) data for an optimized crystal structure of Cr2SeI, as listed in the Alexandria database.

The density of states at the Fermi level is 0.990 states/eV/atom. For the total magnetization, the calculation gives 8.8 μB/f.u.

The structure belongs to space group Fm-3m (No. 225); the cell edges are 7.018, 7.018 and 7.018 Å and the angles 90.00°, 90.00° and 90.00°. The distinct sites, in fractional coordinates, are Cr at (0.250, 0.250, 0.250), Se at (0.000, 0.000, 0.000) and I at (0.000, 0.000, 0.500).

---

Quick one: least stable of them? 2)

---

1) First-principles (PBE) data for an optimized crystal structure of CrTe2SeI, as listed in the Alexandria database.

The density of states at the Fermi level is 1.703 states/eV/atom. For the total magnetization, the calculation gives 0.6 μB/f.u.

The structure belongs to space group P4/mmm (No. 123); the cell edges are 5.480, 5.480 and 5.557 Å and the angles 90.00°, 90.00° and 90.00°. The distinct sites, in fractional coordinates, are Cr at (0.000, 0.000, 0.000), Te at (0.000, 0.500, 0.500), Se at (0.500, 0.500, 0.500) and I at (0.500, 0.500, 0.000).

---

2) First-principles (PBE) data for an optimized crystal structure of CrTe2SeI, as listed in the Alexandria database.

The density of states at the Fermi level is 1.410 states/eV/atom. For the total magnetization, the calculation gives 0.0 μB/f.u.

The structure belongs to space group P4/mmm (No. 123); the cell edges are 5.067, 5.067 and 5.247 Å and the angles 90.00°, 90.00° and 90.00°. The distinct sites, in fractional coordinates, are Cr at (0.000, 0.000, 0.000), Te at (0.000, 0.500, 0.000), Se at (0.500, 0.500, 0.500) and I at (0.000, 0.000, 0.500).

---

Quick one: least stable of them? 1)

---

1) First-principles (PBE) data for an optimized crystal structure of CrSiI2, as listed in the Alexandria database.

The density of states at the Fermi level is 2.134 states/eV/atom. For the total magnetization, the calculation gives 0.0 μB/f.u.

The structure belongs to space group Fm-3m (No. 225); the cell edges are 6.984, 6.984 and 6.984 Å and the angles 90.00°, 90.00° and 90.00°. The distinct sites, in fractional coordinates, are Cr at (0.000, 0.000, 0.000), Si at (0.000, 0.000, 0.500) and I at (0.250, 0.250, 0.250).

---

2) First-principles (PBE) data for an optimized crystal structure of CrSiI2, as listed in the Alexandria database.

The density of states at the Fermi level is 0.164 states/eV/atom. For the total magnetization, the calculation gives 4.0 μB/f.u.

The structure belongs to space group I-42d (No. 122); the cell edges are 7.847, 7.847 and 7.588 Å and the angles 90.00°, 90.00° and 90.00°. The distinct sites, in fractional coordinates, are Cr at (0.000, 0.000, 0.000), Si at (0.000, 0.000, 0.500) and I at (0.230, 0.250, 0.125).

---

Quick one: least stable of them? 1)